Entry 1:
Density functional theory data (PBEsol) for RhSeBr after structural relaxation.

Cell lengths 4.366, 4.366, 4.366 Å; angles 60.00, 60.00, 60.00 degrees
Atoms (fractional coordinates):
Rh 0.000 0.000 0.000
Se 0.750 0.750 0.750
Br 0.250 0.250 0.250

Summary:
D(E_F) ... 1.42 states/eV/f.u.
Crystal system ... cubic
Uncorrected formation energy ... 0.098 eV per atom
Symmetry ... F-43m
Total DFT energy (no corrections) ... -13.6 eV/f.u.



Entry 2:
Density functional theory data (PBEsol) for Rh2SeBr after structural relaxation.

Cell lengths 5.972, 5.972, 5.972 Å; angles 37.84, 37.84, 37.84 degrees
Atoms (fractional coordinates):
Rh 0.222 0.222 0.222
Rh 0.778 0.778 0.778
Se 0.500 0.500 0.500
Br 0.000 0.000 0.000

Summary:
D(E_F) ... 2.90 states/eV/f.u.
Crystal system ... trigonal
Polymorph energy (0 for the lowest one) ... 0 meV/atom
Uncorrected formation energy ... 0.043 eV per atom
Symmetry ... R-3m
Total DFT energy (no corrections) ... -21.8 eV/f.u.



Entry 3:
Density functional theory data (PBEsol) for RhSeBr after structural relaxation.

Cell lengths 3.568, 3.568, 6.000 Å; angles 90.00, 90.00, 120.00 degrees
Atoms (fractional coordinates):
Rh 0.000 0.000 0.000
Se 0.333 0.667 0.790
Br 0.667 0.333 0.263

Summary:
Crystal system ... trigonal
Uncorrected formation energy ... -0.435 eV per atom
Symmetry ... P3m1
Total DFT energy (no corrections) ... -15.2 eV/f.u.



Entry 4:
Density functional theory data (PBEsol) for Rh2Se9Br6 after structural relaxation.

Cell lengths 15.076, 15.076, 15.076 Å; angles 131.65, 131.65, 70.78 degrees
Atoms (fractional coordinates):
Rh 0.036 0.752 0.001
Rh 0.251 0.035 0.499
Rh 0.252 0.751 0.716
Rh 0.465 0.464 0.216
Rh 0.535 0.536 0.784
Rh 0.748 0.249 0.284
Rh 0.749 0.965 0.501
Rh 0.964 0.248 0.999
Se 0.015 0.765 0.250
Se 0.041 0.105 0.226
Se 0.045 0.044 0.340
Se 0.063 0.171 0.894
Se 0.131 0.940 0.122
Se 0.204 0.705 0.160
Se 0.205 0.545 0.501
Se 0.224 0.831 0.394
Se 0.265 0.515 0.750
Se 0.315 0.541 0.436
Se 0.318 0.008 0.378
Se 0.329 0.724 0.893
Se 0.331 0.437 0.607
Se 0.378 0.815 0.274
Se 0.395 0.122 0.936
Se 0.440 0.818 0.809
Se 0.456 0.296 0.001
Se 0.492 0.369 0.309
Se 0.508 0.631 0.691
Se 0.544 0.704 0.999
Se 0.560 0.182 0.191
Se 0.605 0.878 0.064
Se 0.622 0.185 0.726
Se 0.669 0.563 0.393
Se 0.671 0.276 0.107
Se 0.682 0.992 0.622
Se 0.685 0.459 0.564
Se 0.735 0.485 0.250
Se 0.776 0.169 0.606
Se 0.795 0.455 0.499
Se 0.796 0.295 0.840
Se 0.869 0.060 0.878
Se 0.937 0.829 0.106
Se 0.955 0.956 0.660
Se 0.959 0.895 0.774
Se 0.985 0.235 0.750
Br 0.041 0.696 0.601
Br 0.060 0.459 0.155
Br 0.110 0.664 0.854
Br 0.147 0.218 0.187
Br 0.164 0.810 0.554
Br 0.196 0.095 0.655
Br 0.245 0.390 0.054
Br 0.282 0.969 0.930
Br 0.310 0.255 0.646
Br 0.405 0.560 0.101
Br 0.460 0.647 0.430
Br 0.469 0.040 0.687
Br 0.531 0.960 0.313
Br 0.540 0.353 0.570
Br 0.595 0.440 0.899
Br 0.690 0.745 0.354
Br 0.718 0.031 0.070
Br 0.755 0.610 0.946
Br 0.804 0.905 0.345
Br 0.836 0.190 0.446
Br 0.853 0.782 0.813
Br 0.890 0.336 0.146
Br 0.940 0.541 0.845
Br 0.959 0.304 0.399

Summary:
Crystal system ... tetragonal
Uncorrected formation energy ... -0.262 eV per atom
Symmetry ... I4_1/a
Total DFT energy (no corrections) ... -66.6 eV/f.u.



Entry 5:
Density functional theory data (PBEsol) for RhSeBr after structural relaxation.

Cell lengths 4.457, 4.457, 4.457 Å; angles 60.00, 60.00, 60.00 degrees
Atoms (fractional coordinates):
Rh 0.000 0.000 0.000
Se 0.250 0.250 0.250
Br 0.500 0.500 0.500

Summary:
D(E_F) ... 2.38 states/eV/f.u.
Crystal system ... cubic
Uncorrected formation energy ... 0.847 eV per atom
Symmetry ... F-43m
Total DFT energy (no corrections) ... -11.3 eV/f.u.



Entry 6:
Density functional theory data (PBEsol) for Rh2SeBr after structural relaxation.

Cell lengths 4.459, 4.459, 3.139 Å; angles 90.00, 90.00, 90.00 degrees
Atoms (fractional coordinates):
Rh 0.000 0.500 0.000
Rh 0.500 0.000 0.000
Se 0.000 0.000 0.500
Br 0.500 0.500 0.500

Summary:
D(E_F) ... 4.67 states/eV/f.u.
Crystal system ... tetragonal
Polymorph energy (0 for the lowest one) ... 267 meV/atom
Uncorrected formation energy ... 0.310 eV per atom
Symmetry ... P4/mmm
Total DFT energy (no corrections) ... -20.8 eV/f.u.



Entry 7:
Density functional theory data (PBEsol) for Rh2SeBr after structural relaxation.

Cell lengths 6.038, 6.038, 6.038 Å; angles 150.66, 141.28, 49.31 degrees
Atoms (fractional coordinates):
Rh 0.000 0.000 0.000
Rh 0.775 0.275 0.500
Se 0.186 0.686 0.500
Br 0.448 0.448 0.000

Summary:
D(E_F) ... 4.03 states/eV/f.u.
Crystal system ... orthorhombic
Polymorph energy (0 for the lowest one) ... 239 meV/atom
Uncorrected formation energy ... 0.283 eV per atom
Symmetry ... Imm2
Total DFT energy (no corrections) ... -20.9 eV/f.u.



Entry 8:
Density functional theory data (PBEsol) for TaRhSeBr2 after structural relaxation.

Cell lengths 4.999, 4.999, 4.951 Å; angles 90.00, 90.00, 90.00 degrees
Atoms (fractional coordinates):
Ta 0.000 0.000 0.000
Rh 0.500 0.500 0.500
Se 0.000 0.000 0.500
Br 0.000 0.500 0.000
Br 0.500 0.000 0.000

Summary:
D(E_F) ... 10.85 states/eV/f.u.
Crystal system ... tetragonal
Uncorrected formation energy ... 0.658 eV per atom
Symmetry ... P4/mmm
Total DFT energy (no corrections) ... -25.0 eV/f.u.



Entry 9:
Density functional theory data (PBEsol) for TcRhSe2Br after structural relaxation.

Cell lengths 4.806, 4.806, 4.882 Å; angles 90.00, 90.00, 90.00 degrees
Atoms (fractional coordinates):
Tc 0.000 0.000 0.000
Rh 0.500 0.500 0.500
Se 0.000 0.500 0.500
Se 0.500 0.000 0.500
Br 0.500 0.500 0.000

Summary:
D(E_F) ... 3.73 states/eV/f.u.
Crystal system ... tetragonal
Uncorrected formation energy ... 0.922 eV per atom
Symmetry ... P4/mmm
Total DFT energy (no corrections) ... -24.4 eV/f.u.



Entry 10:
Density functional theory data (PBEsol) for TlRhSeBr2 after structural relaxation.

Cell lengths 5.411, 5.411, 5.336 Å; angles 90.00, 90.00, 90.00 degrees
Atoms (fractional coordinates):
Tl 0.000 0.000 0.000
Rh 0.500 0.500 0.500
Se 0.000 0.000 0.500
Br 0.000 0.500 0.000
Br 0.500 0.000 0.000

Summary:
D(E_F) ... 9.15 states/eV/f.u.
Crystal system ... tetragonal
Uncorrected formation energy ... 0.932 eV per atom
Symmetry ... P4/mmm
Total DFT energy (no corrections) ... -13.7 eV/f.u.



Entry 11:
Density functional theory data (PBEsol) for TlRhSe2Br after structural relaxation.

Cell lengths 4.803, 4.803, 5.319 Å; angles 90.00, 90.00, 90.00 degrees
Atoms (fractional coordinates):
Tl 0.000 0.000 0.000
Rh 0.500 0.500 0.500
Se 0.000 0.500 0.500
Se 0.500 0.000 0.500
Br 0.500 0.500 0.000

Summary:
D(E_F) ... 5.55 states/eV/f.u.
Crystal system ... tetragonal
Uncorrected formation energy ... -0.048 eV per atom
Symmetry ... P4/mmm
Total DFT energy (no corrections) ... -20.6 eV/f.u.



Entry 12:
Density functional theory data (PBEsol) for YRhSe2Br after structural relaxation.

Cell lengths 5.374, 5.374, 5.294 Å; angles 90.00, 90.00, 90.00 degrees
Atoms (fractional coordinates):
Y 0.000 0.000 0.000
Rh 0.500 0.500 0.500
Se 0.000 0.500 0.000
Se 0.500 0.000 0.000
Br 0.000 0.000 0.500

Summary:
D(E_F) ... 9.38 states/eV/f.u.
Crystal system ... tetragonal
Uncorrected formation energy ... 0.180 eV per atom
Symmetry ... P4/mmm
Total DFT energy (no corrections) ... -23.6 eV/f.u.



Entry 13:
Density functional theory data (PBEsol) for ZrRhSeBr2 after structural relaxation.

Cell lengths 4.831, 4.831, 4.885 Å; angles 90.00, 90.00, 90.00 degrees
Atoms (fractional coordinates):
Zr 0.000 0.000 0.000
Rh 0.500 0.500 0.500
Se 0.500 0.500 0.000
Br 0.000 0.500 0.500
Br 0.500 0.000 0.500

Summary:
D(E_F) ... 5.29 states/eV/f.u.
Crystal system ... tetragonal
Uncorrected formation energy ... 0.159 eV per atom
Symmetry ... P4/mmm
Total DFT energy (no corrections) ... -24.0 eV/f.u.



Entry 14:
Density functional theory data (PBEsol) for ZnSi2RhBr after structural relaxation.

Cell lengths 4.894, 4.894, 4.558 Å; angles 90.00, 90.00, 90.00 degrees
Atoms (fractional coordinates):
Zn 0.000 0.000 0.000
Si 0.000 0.500 0.500
Si 0.500 0.000 0.500
Rh 0.500 0.500 0.000
Br 0.500 0.500 0.500

Summary:
D(E_F) ... 2.93 states/eV/f.u.
Crystal system ... tetragonal
Uncorrected formation energy ... 1.327 eV per atom
Symmetry ... P4/mmm
Total DFT energy (no corrections) ... -16.4 eV/f.u.



Entry 15:
Density functional theory data (PBEsol) for Sn2RhBr after structural relaxation.

Cell lengths 4.931, 4.931, 4.931 Å; angles 60.00, 60.00, 60.00 degrees
Atoms (fractional coordinates):
Sn 0.250 0.250 0.250
Sn 0.750 0.750 0.750
Rh 0.000 0.000 0.000
Br 0.500 0.500 0.500

Summary:
D(E_F) ... 1.73 states/eV/f.u.
Crystal system ... cubic
Uncorrected formation energy ... 0.211 eV per atom
Symmetry ... Fm-3m
Total DFT energy (no corrections) ... -17.7 eV/f.u.



Entry 16:
Density functional theory data (PBEsol) for Sn2RhBr2 after structural relaxation.

Cell lengths 9.732, 9.732, 9.732 Å; angles 158.12, 158.12, 31.14 degrees
Atoms (fractional coordinates):
Sn 0.077 0.077 0.000
Sn 0.923 0.923 0.000
Rh 0.500 0.500 0.000
Br 0.250 0.750 0.500
Br 0.750 0.250 0.500

Summary:
D(E_F) ... 4.20 states/eV/f.u.
Crystal system ... tetragonal
Uncorrected formation energy ... 0.350 eV per atom
Symmetry ... I4/mmm
Total DFT energy (no corrections) ... -18.6 eV/f.u.



Entry 17:
Density functional theory data (PBEsol) for Sr2RhBr after structural relaxation.

Cell lengths 7.947, 7.947, 7.947 Å; angles 30.99, 30.99, 30.99 degrees
Atoms (fractional coordinates):
Sr 0.237 0.237 0.237
Sr 0.763 0.763 0.763
Rh 0.500 0.500 0.500
Br 0.000 0.000 0.000

Summary:
D(E_F) ... 1.76 states/eV/f.u.
Crystal system ... trigonal
Polymorph energy (0 for the lowest one) ... 34 meV/atom
Uncorrected formation energy ... -0.809 eV per atom
Symmetry ... R-3m
Total DFT energy (no corrections) ... -16.9 eV/f.u.



Entry 18:
Density functional theory data (PBEsol) for Sr2RhBr after structural relaxation.

Cell lengths 8.116, 8.116, 8.116 Å; angles 30.01, 30.01, 30.01 degrees
Atoms (fractional coordinates):
Sr 0.000 0.000 0.000
Sr 0.194 0.194 0.194
Rh 0.597 0.597 0.597
Br 0.764 0.764 0.764

Summary:
D(E_F) ... 1.83 states/eV/f.u.
Crystal system ... trigonal
Polymorph energy (0 for the lowest one) ... 55 meV/atom
Uncorrected formation energy ... -0.787 eV per atom
Symmetry ... R3m
Total DFT energy (no corrections) ... -16.8 eV/f.u.



Entry 19:
Density functional theory data (PBEsol) for SrRhBr3 after structural relaxation.

Cell lengths 5.047, 5.047, 5.047 Å; angles 90.00, 90.00, 90.00 degrees
Atoms (fractional coordinates):
Sr 0.000 0.000 0.000
Rh 0.500 0.500 0.500
Br 0.000 0.500 0.500
Br 0.500 0.000 0.500
Br 0.500 0.500 0.000

Summary:
D(E_F) ... 1.48 states/eV/f.u.
Crystal system ... cubic
Uncorrected formation energy ... -0.944 eV per atom
Symmetry ... Pm-3m
Total DFT energy (no corrections) ... -20.3 eV/f.u.



Entry 20:
Density functional theory data (PBEsol) for SrRhBr after structural relaxation.

Cell lengths 4.625, 4.625, 4.625 Å; angles 60.00, 60.00, 60.00 degrees
Atoms (fractional coordinates):
Sr 0.000 0.000 0.000
Rh 0.750 0.750 0.750
Br 0.500 0.500 0.500

Summary:
D(E_F) ... 1.06 states/eV/f.u.
Crystal system ... cubic
Polymorph energy (0 for the lowest one) ... 272 meV/atom
Uncorrected formation energy ... -0.326 eV per atom
Symmetry ... F-43m
Total DFT energy (no corrections) ... -12.8 eV/f.u.